No. 1
Entry from Alexandria via LeMat-Bulk: crystalline Ni17Pt2 at its relaxed geometry (PBE-GGA).

Cell: 6.147 6.147 6.147 Å, 81.53 81.53 81.53°
Last column: magnetic moment on the atom in μB.
Element x y z (fractional)
Ni 0.354 0.354 0.844  0.72
Ni 0.354 0.844 0.354  0.72
Ni 0.098 0.098 0.098  0.67
Ni 0.902 0.902 0.902  0.67
Ni 0.000 0.000 0.500  0.64
Ni 0.500 0.000 0.000  0.64
Ni 0.000 0.500 0.000  0.64
Ni 0.303 0.697 0.000  0.68
Ni 0.000 0.303 0.697  0.68
Ni 0.697 0.000 0.303  0.68
Ni 0.697 0.303 0.000  0.68
Ni 0.000 0.697 0.303  0.68
Ni 0.303 0.000 0.697  0.68
Ni 0.646 0.156 0.646  0.72
Ni 0.646 0.646 0.156  0.72
Ni 0.156 0.646 0.646  0.72
Ni 0.844 0.354 0.354  0.72
Pt 0.675 0.675 0.675  0.22
Pt 0.325 0.325 0.325  0.22

Results
- size of the total moment (μB/f.u.) = 11.61
- calculated volume (Å³/cell) = 225
- calculated density (g/cm3) = 10.23
- E_form (kJ/mol of atoms) = 16.01
- space group = No. 166



No. 2
Entry from Alexandria via LeMat-Bulk: crystalline NiPt2 at its relaxed geometry (PBE-GGA).

Cell: 4.083 4.083 4.083 Å, 60.00 60.00 60.00°
Last column: magnetic moment on the atom in μB.
Element x y z (fractional)
Ni 0.000 0.000 0.000  0.93
Pt 0.750 0.750 0.750  0.46
Pt 0.250 0.250 0.250  0.46

Results
- size of the total moment (μB/f.u.) = 1.84
- calculated volume (Å³/cell) = 48
- calculated density (g/cm3) = 15.48
- E_form (kJ/mol of atoms) = 19.98
- space group = No. 225



No. 3
Entry from Alexandria via LeMat-Bulk: crystalline NiPt at its relaxed geometry (PBE-GGA).

Cell: 4.395 7.958 4.655 Å, 90.00 90.00 90.00°
Last column: magnetic moment on the atom in μB.
Element x y z (fractional)
Ni 0.500 0.665 0.663  0.83
Ni 0.500 0.335 0.663  0.83
Ni 0.500 0.165 0.163  0.83
Ni 0.500 0.835 0.163  0.83
Ni 0.000 0.000 0.336  0.66
Ni 0.000 0.500 0.836  0.66
Pt 0.000 0.170 0.847  0.36
Pt 0.000 0.830 0.847  0.36
Pt 0.000 0.670 0.347  0.36
Pt 0.000 0.330 0.347  0.36
Pt 0.500 0.000 0.648  0.40
Pt 0.500 0.500 0.148  0.40

Results
- size of the total moment (μB/f.u.) = 1.11
- calculated volume (Å³/cell) = 163
- calculated density (g/cm3) = 15.53
- E_form (kJ/mol of atoms) = -2.97
- space group = No. 38



No. 4
Entry from Alexandria via LeMat-Bulk: crystalline NiPt at its relaxed geometry (PBE-GGA).

Cell: 4.138 4.138 4.929 Å, 90.00 90.00 120.00°
Last column: magnetic moment on the atom in μB.
Element x y z (fractional)
Ni 0.333 0.667 0.250  0.39
Ni 0.667 0.333 0.750  0.39
Pt 0.333 0.667 0.750  0.17
Pt 0.667 0.333 0.250  0.17

Results
- size of the total moment (μB/f.u.) = 0.55
- calculated volume (Å³/cell) = 73
- calculated density (g/cm3) = 11.53
- E_form (kJ/mol of atoms) = 65.96
- space group = No. 194



No. 5
Entry from Alexandria via LeMat-Bulk: crystalline Ni5Pt4 at its relaxed geometry (PBE-GGA).

Cell: 3.733 7.991 4.600 Å, 106.44 113.94 76.49°
Last column: magnetic moment on the atom in μB.
Element x y z (fractional)
Ni 0.002 0.003 0.006  0.72
Ni 0.667 0.112 0.447  0.77
Ni 0.000 0.333 0.333  0.81
Ni 0.333 0.554 0.219  0.77
Ni 0.998 0.664 0.661  0.72
Pt 0.343 0.222 0.908  0.38
Pt 0.657 0.445 0.759  0.38
Pt 0.667 0.776 0.109  0.37
Pt 0.333 0.891 0.557  0.37

Results
- size of the total moment (μB/f.u.) = 5.07
- calculated volume (Å³/cell) = 119
- calculated density (g/cm3) = 14.96
- ΔE to the lowest computed polymorph (meV/atom) = 2.3
- E_form (kJ/mol of atoms) = -7.10
- space group = No. 12



No. 6
Entry from Alexandria via LeMat-Bulk: crystalline NiPt at its relaxed geometry (PBE-GGA).

Cell: 2.710 2.710 3.663 Å, 90.00 90.00 90.00°
Last column: magnetic moment on the atom in μB.
Element x y z (fractional)
Ni 0.000 0.000 0.500  0.76
Pt 0.500 0.500 0.000  0.35

Results
- size of the total moment (μB/f.u.) = 1.07
- calculated volume (Å³/cell) = 27
- calculated density (g/cm3) = 15.67
- E_form (kJ/mol of atoms) = -10.25
- space group = No. 123



No. 7
Entry from Alexandria via LeMat-Bulk: crystalline Ni3Pt4 at its relaxed geometry (PBE-GGA).

Cell: 9.683 9.683 9.683 Å, 160.86 160.86 27.20°
Last column: magnetic moment on the atom in μB.
Element x y z (fractional)
Ni 0.000 0.000 0.000  -0.04
Ni 0.715 0.715 0.000  0.56
Ni 0.285 0.285 0.000  0.56
Pt 0.850 0.850 0.000  0.20
Pt 0.571 0.571 0.000  0.09
Pt 0.429 0.429 0.000  0.09
Pt 0.150 0.150 0.000  0.20

Results
- size of the total moment (μB/f.u.) = 1.61
- calculated volume (Å³/cell) = 98
- calculated density (g/cm3) = 16.28
- ΔE to the lowest computed polymorph (meV/atom) = 84.0
- E_form (kJ/mol of atoms) = 2.02
- space group = No. 139



No. 8
Entry from Alexandria via LeMat-Bulk: crystalline Ni3Pt4 at its relaxed geometry (PBE-GGA).

Cell: 4.710 4.710 5.078 Å, 90.00 90.00 120.00°
Last column: magnetic moment on the atom in μB.
Element x y z (fractional)
Ni 0.000 0.500 0.000  0.75
Ni 0.500 0.500 0.000  0.75
Ni 0.500 0.000 0.000  0.75
Pt 0.000 0.000 0.252  0.32
Pt 0.000 0.000 0.748  0.32
Pt 0.667 0.333 0.500  0.24
Pt 0.333 0.667 0.500  0.24

Results
- size of the total moment (μB/f.u.) = 3.28
- calculated volume (Å³/cell) = 98
- calculated density (g/cm3) = 16.28
- ΔE to the lowest computed polymorph (meV/atom) = 141.5
- E_form (kJ/mol of atoms) = 7.56
- space group = No. 191



No. 9
Entry from Alexandria via LeMat-Bulk: crystalline Ni5Pt7 at its relaxed geometry (PBE-GGA).

Cell: 3.799 6.010 8.611 Å, 114.95 90.00 108.42°
Last column: magnetic moment on the atom in μB.
Element x y z (fractional)
Ni 0.170 0.340 0.498  0.82
Ni 0.830 0.660 0.502  0.82
Ni 0.250 0.500 0.256  0.78
Ni 0.750 0.500 0.744  0.78
Ni 0.000 0.000 0.000  0.74
Pt 0.406 0.812 0.741  0.35
Pt 0.594 0.188 0.259  0.35
Pt 0.914 0.828 0.254  0.27
Pt 0.086 0.172 0.746  0.27
Pt 0.663 0.325 0.000  0.28
Pt 0.500 0.000 0.500  0.26
Pt 0.337 0.675 0.000  0.28

Results
- size of the total moment (μB/f.u.) = 5.82
- calculated volume (Å³/cell) = 167
- calculated density (g/cm3) = 16.49
- ΔE to the lowest computed polymorph (meV/atom) = 0.0
- E_form (kJ/mol of atoms) = -6.29
- space group = No. 12



No. 10
Entry from Alexandria via LeMat-Bulk: crystalline Ni3Pt at its relaxed geometry (PBE-GGA).

Cell: 2.633 8.430 2.633 Å, 81.01 120.00 98.99°
Last column: magnetic moment on the atom in μB.
Element x y z (fractional)
Ni 0.995 0.985 0.005  0.74
Ni 0.250 0.750 0.750  0.75
Ni 0.505 0.515 0.495  0.74
Pt 0.750 0.250 0.250  0.14

Results
- size of the total moment (μB/f.u.) = 2.26
- calculated volume (Å³/cell) = 50
- calculated density (g/cm3) = 12.38
- E_form (kJ/mol of atoms) = 2.52
- space group = No. 166



No. 11
Entry from Alexandria via LeMat-Bulk: crystalline Ni3Pt2 at its relaxed geometry (PBE-GGA).

Cell: 9.114 2.698 2.698 Å, 90.00 98.51 98.51°
Last column: magnetic moment on the atom in μB.
Element x y z (fractional)
Ni 0.024 0.012 0.012  0.74
Ni 0.200 0.600 0.600  0.77
Ni 0.376 0.188 0.188  0.74
Pt 0.581 0.790 0.790  0.25
Pt 0.819 0.410 0.410  0.25

Results
- size of the total moment (μB/f.u.) = 2.64
- calculated volume (Å³/cell) = 65
- calculated density (g/cm3) = 14.49
- ΔE to the lowest computed polymorph (meV/atom) = 30.0
- E_form (kJ/mol of atoms) = -2.22
- space group = No. 139



No. 12
Entry from Alexandria via LeMat-Bulk: crystalline Ni3Pt at its relaxed geometry (PBE-GGA).

Cell: 3.659 3.659 4.469 Å, 114.17 114.17 90.00°
Last column: magnetic moment on the atom in μB.
Element x y z (fractional)
Ni 0.250 0.750 0.500  0.65
Ni 0.750 0.250 0.500  0.65
Ni 0.500 0.500 0.000  0.64
Pt 0.000 0.000 0.000  0.33

Results
- size of the total moment (μB/f.u.) = 2.16
- calculated volume (Å³/cell) = 49
- calculated density (g/cm3) = 12.63
- E_form (kJ/mol of atoms) = -7.26
- space group = No. 139